Entry 1:
DFT (GGA-PBE) results for crystalline Al2ZnC at its relaxed geometry.

```
4
Lattice="1.553 0.896 7.147 -1.553 0.896 7.147 0.000 -1.793 7.147" Properties=species:S:1:pos:R:3 pbc="T T T"
Al 0.000 0.000 2.539
Al 0.000 0.000 18.903
Zn 0.000 0.000 0.000
C 0.000 0.000 10.721
```

**Relative energy among the computed polymorphs**: 0 meV/atom
**Calculated formation energy**: 0.120 eV/atom
**Total magnetization**: 0.0 μB/cell



Entry 2:
DFT (GGA-PBE) results for crystalline Al2ZnC at its relaxed geometry.

```
4
Lattice="0.000 3.004 3.004 3.004 0.000 3.004 3.004 3.004 0.000" Properties=species:S:1:pos:R:3 pbc="T T T"
Al 1.502 1.502 1.502
Al 4.506 4.506 4.506
Zn 0.000 0.000 0.000
C 3.004 3.004 3.004
```

**Relative energy among the computed polymorphs**: 924 meV/atom
**Calculated formation energy**: 1.044 eV/atom
**Total magnetization**: 0.0 μB/cell



Entry 3:
DFT (GGA-PBE) results for crystalline Al3ZnC at its relaxed geometry.

```
5
Lattice="4.596 0.000 0.000 0.000 4.596 0.000 0.000 0.000 4.596" Properties=species:S:1:pos:R:3 pbc="T T T"
Al 0.000 0.000 2.298
Al 0.000 2.298 0.000
Al 2.298 0.000 0.000
Zn 0.000 0.000 0.000
C 2.298 2.298 2.298
```

**Relative energy among the computed polymorphs**: 1297 meV/atom
**Calculated formation energy**: 1.625 eV/atom
**Total magnetization**: 1.1 μB/cell



Entry 4:
DFT (GGA-PBE) results for crystalline Al3ZnC at its relaxed geometry.

```
5
Lattice="4.088 0.000 0.000 0.000 4.088 0.000 0.000 0.000 4.088" Properties=species:S:1:pos:R:3 pbc="T T T"
Al 0.000 0.000 2.044
Al 0.000 2.044 0.000
Al 2.044 0.000 0.000
Zn 2.044 2.044 2.044
C 0.000 0.000 0.000
```

**Relative energy among the computed polymorphs**: 0 meV/atom
**Calculated formation energy**: 0.328 eV/atom
**Total magnetization**: 0.0 μB/cell



Entry 5:
DFT (GGA-PBE) results for crystalline AlZn2C at its relaxed geometry.

```
8
Lattice="-2.818 2.818 4.563 2.818 -2.818 4.563 2.818 2.818 -4.563" Properties=species:S:1:pos:R:3 pbc="T T T"
Al 0.000 0.000 0.000
Al 0.000 2.818 2.282
Zn 1.409 -0.681 3.422
Zn 2.138 1.409 1.141
Zn 1.409 3.499 -1.141
Zn 0.681 1.409 5.704
C 2.818 0.000 2.282
C 0.000 0.000 4.563
```

**Relative energy among the computed polymorphs**: 0 meV/atom
**Calculated formation energy**: 0.845 eV/atom
**Total magnetization**: 0.0 μB/cell



Entry 6:
DFT (GGA-PBE) results for crystalline AlZnC2 at its relaxed geometry.

```
8
Lattice="-2.031 2.031 5.792 2.031 -2.031 5.792 2.031 2.031 -5.792" Properties=species:S:1:pos:R:3 pbc="T T T"
Al 0.000 0.000 0.000
Al 0.000 2.031 2.896
Zn 2.031 0.000 2.896
Zn 0.000 0.000 5.792
C 3.046 0.967 -1.448
C 0.967 1.015 1.448
C -1.015 1.064 4.344
C 1.064 1.015 7.241
```

**Relative energy among the computed polymorphs**: 0 meV/atom
**Calculated formation energy**: 1.091 eV/atom
**Total magnetization**: 0.0 μB/cell



Entry 7:
DFT (GGA-PBE) results for crystalline AlZn2C at its relaxed geometry.

```
4
Lattice="0.000 3.036 3.036 3.036 0.000 3.036 3.036 3.036 0.000" Properties=species:S:1:pos:R:3 pbc="T T T"
Al 0.000 0.000 0.000
Zn 1.518 1.518 1.518
Zn 4.553 4.553 4.553
C 3.036 3.036 3.036
```

**Relative energy among the computed polymorphs**: 374 meV/atom
**Calculated formation energy**: 1.219 eV/atom
**Total magnetization**: 0.0 μB/cell



Entry 8:
DFT (GGA-PBE) results for crystalline Al2ZnC at its relaxed geometry.

```
8
Lattice="-2.840 2.840 4.051 2.840 -2.840 4.051 2.840 2.840 -4.051" Properties=species:S:1:pos:R:3 pbc="T T T"
Al 4.261 0.855 -1.013
Al 0.855 1.420 1.013
Al -1.420 1.986 3.038
Al 1.986 1.420 5.063
Zn 2.840 0.000 2.025
Zn 0.000 0.000 4.051
C 0.000 0.000 0.000
C 0.000 2.840 2.025
```

**Relative energy among the computed polymorphs**: 160 meV/atom
**Calculated formation energy**: 0.280 eV/atom
**Total magnetization**: 0.0 μB/cell